# GGA-PBE PmNd2Dy5Th, relaxed
data_PmNd2Dy5Th
_chemical_formula_sum 'Pm4 Nd8 Dy20 Th4'
_cell_length_a 8.731
_cell_length_b 8.731
_cell_length_c 15.504
_cell_angle_alpha 90.00
_cell_angle_beta 90.00
_cell_angle_gamma 90.00
_symmetry_space_group_name_H-M 'I 4/m c m'
_symmetry_Int_Tables_number 140
_symmetry_space_group_name_Hall '-I 4 2c'
loop_
_atom_site_label
_atom_site_fract_x
_atom_site_fract_y
_atom_site_fract_z
_atom_site_occupancy
Pm1 0.000 0.500 0.250 1
Nd1 0.117 0.383 0.000 1
Dy1 0.000 0.000 0.000 1
Dy2 0.212 0.288 0.360 1
Th1 0.000 0.000 0.250 1
# * DOS at the Fermi energy: 1.248 states/eV/atom
# * theoretical density: 8.3 g/cm3
# * formation enthalpy at 0 K: 0.287 eV per atom

***

# GGA-PBE Rb3CePm2Te6, relaxed
data_Rb3CePm2Te6
_chemical_formula_sum 'Rb6 Ce2 Pm4 Te12'
_cell_length_a 8.052
_cell_length_b 13.947
_cell_length_c 8.973
_cell_angle_alpha 90.00
_cell_angle_beta 107.40
_cell_angle_gamma 90.00
_symmetry_space_group_name_H-M 'C 1 2/m 1'
_symmetry_Int_Tables_number 12
_symmetry_space_group_name_Hall '-C 2y'
loop_
_atom_site_label
_atom_site_fract_x
_atom_site_fract_y
_atom_site_fract_z
_atom_site_occupancy
Rb1 0.000 0.000 0.000 1
Rb2 0.000 0.334 0.000 1
Ce1 0.000 0.500 0.500 1
Pm1 0.000 0.167 0.500 1
Te1 0.232 0.000 0.704 1
Te2 0.236 0.332 0.704 1
# * raw formation energy: -1.38 eV/atom
# * DOS at the Fermi energy: 0.689 states/eV/atom
# * theoretical density: 5.0 g/cm3

***

# GGA-PBE Ba2YPPd, relaxed
data_Ba2YPPd
_chemical_formula_sum 'Ba2 Y1 P1 Pd1'
_cell_length_a 6.377
_cell_length_b 6.377
_cell_length_c 4.925
_cell_angle_alpha 90.00
_cell_angle_beta 90.00
_cell_angle_gamma 90.00
_symmetry_space_group_name_H-M 'P 4/m m m'
_symmetry_Int_Tables_number 123
_symmetry_space_group_name_Hall '-P 4 2'
loop_
_atom_site_label
_atom_site_fract_x
_atom_site_fract_y
_atom_site_fract_z
_atom_site_occupancy
Ba1 0.000 0.500 0.000 1
Y1 0.000 0.000 0.000 1
P1 0.500 0.500 0.500 1
Pd1 0.000 0.000 0.500 1
# * DOS at the Fermi energy: 1.072 states/eV/atom
# * theoretical density: 4.2 g/cm3
# * formation enthalpy at 0 K: 0.550 eV per atom

***

# GGA-PBE Rb2MgTiBr6, relaxed
data_Rb2MgTiBr6
_chemical_formula_sum 'Rb8 Mg4 Ti4 Br24'
_cell_length_a 10.776
_cell_length_b 10.776
_cell_length_c 10.776
_cell_angle_alpha 90.00
_cell_angle_beta 90.00
_cell_angle_gamma 90.00
_symmetry_space_group_name_H-M 'F m -3 m'
_symmetry_Int_Tables_number 225
_symmetry_space_group_name_Hall '-F 4 2 3'
loop_
_atom_site_label
_atom_site_fract_x
_atom_site_fract_y
_atom_site_fract_z
_atom_site_occupancy
Rb1 0.250 0.250 0.250 1
Mg1 0.000 0.000 0.000 1
Ti1 0.000 0.000 0.500 1
Br1 0.000 0.000 0.250 1
# * raw formation energy: -1.40 eV/atom
# * DOS at the Fermi energy: 1.079 states/eV/atom
# * theoretical density: 3.8 g/cm3
# * energy relative to the lowest polymorph listed for this composition: 28 meV per atom

***

# GGA-PBE CeNdAsSe, relaxed
data_CeNdAsSe
_chemical_formula_sum 'Ce3 Nd3 As3 Se3'
_cell_length_a 4.2341
_cell_length_b 4.2341
_cell_length_c 20.8500
_cell_angle_alpha 90.00
_cell_angle_beta 90.00
_cell_angle_gamma 120.00
_symmetry_space_group_name_H-M 'R 3 m'
_symmetry_Int_Tables_number 160
_symmetry_space_group_name_Hall 'R 3 -2"'
loop_
_atom_site_label
_atom_site_fract_x
_atom_site_fract_y
_atom_site_fract_z
_atom_site_occupancy
Ce1 0.0000 0.0000 0.0000 1
Nd1 0.0000 0.0000 0.4950 1
As1 0.0000 0.0000 0.7465 1
Se1 0.0000 0.0000 0.2484 1
# * raw formation energy: -1.69 eV/atom
# * DOS at the Fermi energy: 1.724 states/eV/atom
# * theoretical density: 6.7 g/cm3

***

# GGA-PBE ZrFe2RhPb, relaxed
data_ZrFe2RhPb
_chemical_formula_sum 'Zr1 Fe2 Rh1 Pb1'
_cell_length_a 4.654
_cell_length_b 4.654
_cell_length_c 5.020
_cell_angle_alpha 90.00
_cell_angle_beta 90.00
_cell_angle_gamma 90.00
_symmetry_space_group_name_H-M 'P 4/m m m'
_symmetry_Int_Tables_number 123
_symmetry_space_group_name_Hall '-P 4 2'
loop_
_atom_site_label
_atom_site_fract_x
_atom_site_fract_y
_atom_site_fract_z
_atom_site_occupancy
Zr1 0.000 0.000 0.000 1
Fe1 0.000 0.500 0.500 1
Rh1 0.500 0.500 0.500 1
Pb1 0.500 0.500 0.000 1
# * DOS at the Fermi energy: 1.514 states/eV/atom
# * theoretical density: 7.8 g/cm3
# * formation enthalpy at 0 K: 0.828 eV per atom